# Nb2Al4Ni

An optimized crystal structure of Nb2Al4Ni (GGA-PBE, Alexandria via LeMat-Bulk).

Values from the calculation:
Symmetry: No. 139
Total magnetic moment: 0.000 μB/atom
ΔH_f (0 K): 0.302 eV/atom
DOS(E_F): 6.03 states/eV/f.u.

Cell lengths 7.4337, 7.4337, 7.4337 Å; angles 146.42, 146.42, 48.23 degrees
Last column: nearest neighbours and their distance in Å.
Element x y z (fractional)
Nb (0.1345, 0.1345, 0.0000)  5 Al 2.64-2.82
Nb (0.8655, 0.8655, 0.0000)  5 Al 2.64-2.82
Al (0.0000, 0.5000, 0.5000)  2 Ni 2.15
Al (0.3290, 0.3290, 0.0000)  1 Ni 2.32
Al (0.5000, 0.0000, 0.5000)  2 Ni 2.15
Al (0.6710, 0.6710, 0.0000)  1 Ni 2.32
Ni (0.5000, 0.5000, 0.0000)  6 Al 2.15-2.32